1.
# PBE Cu2HOs, optimized geometry
# ρ   11.0 Mg/m³
# Crystal system   cubic
# Volume   12.04 A^3/atom
# Relative energy among the computed polymorphs   2.25 eV/f.u.
data_Cu2HOs
_space_group_name_H-M_alt 'F m -3 m'
_space_group_IT_number 225
_space_group_name_Hall '-F 4 2 3'
_cell_length_a 5.7749
_cell_length_b 5.7749
_cell_length_c 5.7749
_cell_angle_alpha 90.00
_cell_angle_beta 90.00
_cell_angle_gamma 90.00
loop_
_atom_site_label
_atom_site_type_symbol
_atom_site_fract_x
_atom_site_fract_y
_atom_site_fract_z
Cu1 Cu 0.2500 0.2500 0.2500
H1 H 0.0000 0.0000 0.0000
Os1 Os 0.0000 0.0000 0.5000

2.
# PBE Cu2HOs, optimized geometry
# ρ   12.4 Mg/m³
# Crystal system   tetragonal
# Volume   10.65 A^3/atom
# Relative energy among the computed polymorphs   0.00 eV/f.u.
data_Cu2HOs
_space_group_name_H-M_alt 'I -4 2 d'
_space_group_IT_number 122
_space_group_name_Hall 'I -4 2bw'
_cell_length_a 5.2770
_cell_length_b 5.2770
_cell_length_c 6.1201
_cell_angle_alpha 90.00
_cell_angle_beta 90.00
_cell_angle_gamma 90.00
loop_
_atom_site_label
_atom_site_type_symbol
_atom_site_fract_x
_atom_site_fract_y
_atom_site_fract_z
Cu1 Cu 0.1087 0.7500 0.1250
H1 H 0.0000 0.0000 0.0000
Os1 Os 0.0000 0.0000 0.5000

3.
# PBE CuH2Os, optimized geometry
# ρ   12.5 Mg/m³
# Crystal system   tetragonal
# Volume   8.52 A^3/atom
# Relative energy among the computed polymorphs   0.00 eV/f.u.
data_CuH2Os
_space_group_name_H-M_alt 'I -4 2 d'
_space_group_IT_number 122
_space_group_name_Hall 'I -4 2bw'
_cell_length_a 4.1696
_cell_length_b 4.1696
_cell_length_c 7.8397
_cell_angle_alpha 90.00
_cell_angle_beta 90.00
_cell_angle_gamma 90.00
loop_
_atom_site_label
_atom_site_type_symbol
_atom_site_fract_x
_atom_site_fract_y
_atom_site_fract_z
Cu1 Cu 0.0000 0.0000 0.0000
H1 H 0.2431 0.2500 0.1250
Os1 Os 0.0000 0.0000 0.5000

- Look up the ρ of the second one.
  12.4 Mg/m³

What did the third record say?
# PBE CuH2Os, optimized geometry
# ρ   12.5 Mg/m³
# Crystal system   tetragonal
# Volume   8.52 A^3/atom
# Relative energy among the computed polymorphs   0.00 eV/f.u.
data_CuH2Os
_space_group_name_H-M_alt 'I -4 2 d'
_space_group_IT_number 122
_space_group_name_Hall 'I -4 2bw'
_cell_length_a 4.1696
_cell_length_b 4.1696
_cell_length_c 7.8397
_cell_angle_alpha 90.00
_cell_angle_beta 90.00
_cell_angle_gamma 90.00
loop_
_atom_site_label
_atom_site_type_symbol
_atom_site_fract_x
_atom_site_fract_y
_atom_site_fract_z
Cu1 Cu 0.0000 0.0000 0.0000
H1 H 0.2431 0.2500 0.1250
Os1 Os 0.0000 0.0000 0.5000

- The lowest volume belongs to which entry?
  CuH2Os

- What is the ρ in the second record?
  12.4 Mg/m³